Compound: HfGeC3
Source: the Alexandria database
Functional: GGA-PBE
Structure: relaxed

a = 4.3010 Å, b = 4.3010 Å, c = 4.3010 Å
α = 90.00°, β = 90.00°, γ = 90.00°
Closest atoms and distances in Å follow each position.
Fractional coordinates of all 5 atoms:
Ge: 0.5000 0.5000 0.5000  12 C 3.04
C: 0.0000 0.5000 0.0000  2 Hf 2.15
C: 0.5000 0.0000 0.0000  2 Hf 2.15
C: 0.0000 0.0000 0.5000  2 Hf 2.15
Hf: 0.0000 0.0000 0.0000  6 C 2.15

Calculated values
Theoretical density: 5.993 g cm⁻³
Relative energy among the computed polymorphs: 226 meV/atom
Symmetry: Pm-3m (221)
ΔH_f (0 K): 2.06 eV/atom